Computed, not measured: crystalline Ba4Te3F2 at its relaxed geometry at the GGA-PBE level of DFT.

Cell and atoms, written as POSCAR:
```
Ba4Te3F2
1.0
4.720 0.000 0.000
-2.360 7.681 -0.893
0.000 -4.511 9.216
Ba Te F
4 3 2
direct
0.897 0.794 0.593 Ba
0.103 0.206 0.407 Ba
0.316 0.633 0.892 Ba
0.684 0.367 0.108 Ba
0.379 0.758 0.283 Te
0.621 0.242 0.717 Te
0.000 0.000 0.000 Te
0.309 0.618 0.622 F
0.691 0.382 0.378 F
```

---

Computed, not measured: crystalline BaTeF6 at its relaxed geometry at the GGA-PBE level of DFT.

Cell and atoms, written as POSCAR:
```
BaTeF6
1.0
-4.886 -0.017 -2.453
-0.578 -2.302 -4.926
-3.009 -5.609 -0.060
Ba F Te
1 6 1
direct
0.500 0.500 0.500 Ba
0.912 0.418 0.758 F
0.582 0.088 0.242 F
0.912 0.912 0.758 F
0.088 0.088 0.242 F
0.418 0.912 0.758 F
0.088 0.582 0.242 F
0.000 0.000 0.000 Te
```

Output
energy above the most stable polymorph in this dataset = 175 meV per atom

---

Computed, not measured: crystalline Ba12Te3F5 at its relaxed geometry at the GGA-PBE level of DFT.

Cell and atoms, written as POSCAR:
```
Ba12Te3F5
1.0
-0.321 -15.849 1.041
11.360 4.408 -10.193
3.037 6.187 14.313
Ba F Te
48 20 12
direct
0.811 0.908 0.291 Ba
0.596 0.617 0.408 Ba
0.883 0.291 0.480 Ba
0.404 0.383 0.592 Ba
0.592 0.709 0.689 Ba
0.617 0.020 0.209 Ba
0.480 0.791 0.883 Ba
0.117 0.408 0.096 Ba
0.520 0.311 0.904 Ba
0.904 0.811 0.520 Ba
0.617 0.596 0.908 Ba
0.096 0.189 0.480 Ba
0.291 0.408 0.811 Ba
0.904 0.092 0.883 Ba
0.908 0.096 0.617 Ba
0.117 0.709 0.520 Ba
0.811 0.904 0.020 Ba
0.189 0.096 0.980 Ba
0.791 0.480 0.383 Ba
0.980 0.383 0.291 Ba
0.709 0.117 0.020 Ba
0.404 0.020 0.311 Ba
0.209 0.689 0.092 Ba
0.383 0.404 0.092 Ba
0.092 0.189 0.209 Ba
0.209 0.520 0.617 Ba
0.408 0.291 0.311 Ba
0.709 0.592 0.189 Ba
0.311 0.520 0.404 Ba
0.596 0.980 0.689 Ba
0.791 0.311 0.908 Ba
0.689 0.209 0.592 Ba
0.096 0.908 0.117 Ba
0.480 0.689 0.096 Ba
0.689 0.480 0.596 Ba
0.092 0.904 0.383 Ba
0.020 0.617 0.709 Ba
0.383 0.980 0.791 Ba
0.020 0.404 0.811 Ba
0.189 0.092 0.709 Ba
0.980 0.596 0.189 Ba
0.592 0.883 0.404 Ba
0.520 0.209 0.117 Ba
0.908 0.811 0.791 Ba
0.311 0.791 0.408 Ba
0.883 0.592 0.904 Ba
0.408 0.117 0.596 Ba
0.291 0.883 0.980 Ba
0.250 0.375 0.625 F
0.750 0.125 0.875 F
0.500 0.000 0.500 F
0.000 0.000 0.000 F
0.375 0.125 0.750 F
0.000 0.500 0.500 F
0.625 0.875 0.250 F
0.375 0.250 0.125 F
0.125 0.375 0.250 F
0.500 0.000 0.000 F
0.750 0.625 0.375 F
0.500 0.500 0.000 F
0.000 0.000 0.500 F
0.875 0.625 0.750 F
0.000 0.500 0.000 F
0.625 0.750 0.875 F
0.875 0.250 0.625 F
0.250 0.875 0.125 F
0.125 0.750 0.375 F
0.500 0.500 0.500 F
0.750 0.375 0.125 Te
0.875 0.125 0.250 Te
0.875 0.750 0.125 Te
0.125 0.250 0.875 Te
0.625 0.375 0.750 Te
0.375 0.625 0.250 Te
0.625 0.250 0.375 Te
0.375 0.750 0.625 Te
0.250 0.125 0.375 Te
0.250 0.625 0.875 Te
0.750 0.875 0.625 Te
0.125 0.875 0.750 Te
```

---

Computed, not measured: crystalline Ba3TeF3 at its relaxed geometry at the GGA-PBE level of DFT.

Cell and atoms, written as POSCAR:
```
Ba3TeF3
1.0
-3.032 7.402 -0.178
-5.417 2.236 5.446
2.947 5.686 6.473
Ba Te F
6 2 6
direct
0.414 0.092 0.726 Ba
0.586 0.908 0.274 Ba
0.092 0.768 0.726 Ba
0.768 0.414 0.726 Ba
0.232 0.586 0.274 Ba
0.908 0.232 0.274 Ba
0.333 0.333 0.000 Te
0.667 0.667 0.000 Te
0.128 0.463 0.614 F
0.205 0.872 0.386 F
0.795 0.128 0.614 F
0.872 0.537 0.386 F
0.463 0.795 0.614 F
0.537 0.205 0.386 F
```

---

Computed, not measured: crystalline BaTeF5 at its relaxed geometry at the GGA-PBE level of DFT.

Cell and atoms, written as POSCAR:
```
BaTeF5
1.0
2.032 8.722 0.995
-4.954 -4.590 -5.966
-2.799 -1.160 5.743
F Te Ba
10 2 2
direct
0.896 0.146 0.250 F
0.308 0.787 0.491 F
0.766 0.863 0.651 F
0.296 0.317 0.009 F
0.692 0.213 0.509 F
0.704 0.683 0.991 F
0.234 0.137 0.349 F
0.788 0.385 0.151 F
0.212 0.615 0.849 F
0.104 0.854 0.750 F
0.000 0.500 0.500 Te
0.000 0.000 0.000 Te
0.531 0.781 0.250 Ba
0.469 0.219 0.750 Ba
```

---

Computed, not measured: crystalline Ba2Te2F at its relaxed geometry at the GGA-PBE level of DFT.

Cell and atoms, written as POSCAR:
```
Ba2Te2F
1.0
8.409 0.000 0.000
0.000 8.409 0.000
0.000 0.000 5.043
Te F Ba
4 2 4
direct
0.370 0.130 0.500 Te
0.630 0.870 0.500 Te
0.870 0.370 0.500 Te
0.130 0.630 0.500 Te
0.500 0.500 0.000 F
0.000 0.000 0.000 F
0.818 0.682 0.000 Ba
0.318 0.818 0.000 Ba
0.182 0.318 0.000 Ba
0.682 0.182 0.000 Ba
```

---

Computed, not measured: crystalline BaTeF6 at its relaxed geometry at the GGA-PBE level of DFT.

Cell and atoms, written as POSCAR:
```
BaTeF6
1.0
-7.127 8.065 1.614
-8.947 -0.323 -0.996
-3.386 2.739 7.843
F Ba Te
24 4 4
direct
0.842 0.683 0.991 F
0.567 0.408 0.765 F
0.289 0.493 0.669 F
0.727 0.958 0.284 F
0.938 0.466 0.281 F
0.405 0.992 0.258 F
0.581 0.700 0.961 F
0.784 0.312 0.934 F
0.292 0.523 0.219 F
0.840 0.744 0.482 F
0.258 0.845 0.905 F
0.316 0.281 0.466 F
0.031 0.284 0.958 F
0.345 0.258 0.992 F
0.934 0.482 0.744 F
0.506 0.410 0.316 F
0.992 0.905 0.845 F
0.966 0.219 0.523 F
0.259 0.765 0.408 F
0.757 0.961 0.700 F
0.550 0.669 0.493 F
0.768 0.316 0.410 F
0.485 0.991 0.683 F
0.969 0.934 0.312 F
0.232 0.037 0.115 Ba
0.213 0.018 0.635 Ba
0.615 0.115 0.037 Ba
0.135 0.635 0.018 Ba
0.701 0.016 0.510 Te
0.234 0.549 0.477 Te
0.740 0.477 0.549 Te
0.773 0.510 0.016 Te
```

Output
energy above the most stable polymorph in this dataset = 0 meV per atom

---

Computed, not measured: crystalline Ba2TeF at its relaxed geometry at the GGA-PBE level of DFT.

Cell and atoms, written as POSCAR:
```
Ba2TeF
1.0
4.592 0.000 0.000
2.296 3.977 0.000
2.296 1.326 7.362
Ba Te F
2 1 1
direct
0.738 0.738 0.786 Ba
0.262 0.262 0.214 Ba
0.500 0.500 0.500 Te
0.000 0.000 0.000 F
```

Output
energy above the most stable polymorph in this dataset = 132 meV per atom

---

Computed, not measured: crystalline Ba3Te2F2 at its relaxed geometry at the GGA-PBE level of DFT.

Cell and atoms, written as POSCAR:
```
Ba3Te2F2
1.0
-3.304 -3.053 -1.093
1.959 -4.555 6.803
-3.315 7.136 -0.110
Te F Ba
2 2 3
direct
0.432 0.205 0.864 Te
0.568 0.795 0.136 Te
0.788 0.656 0.575 F
0.212 0.344 0.425 F
0.817 0.363 0.635 Ba
0.000 0.000 0.000 Ba
0.183 0.637 0.365 Ba
```

---

Computed, not measured: crystalline BaYTe2F at its relaxed geometry at the GGA-PBE level of DFT.

Cell and atoms, written as POSCAR:
```
BaYTe2F
1.0
6.047 0.000 0.000
0.000 6.047 0.000
0.000 0.000 4.432
Te F Y Ba
2 1 1 1
direct
0.500 0.000 0.000 Te
0.000 0.500 0.000 Te
0.000 0.000 0.500 F
0.000 0.000 0.000 Y
0.500 0.500 0.500 Ba
```

Output
energy above the most stable polymorph in this dataset = 0 meV per atom

---

no.,E (eV per atom)
1,-4.729
2,-4.686
3,-3.851
4,-4.984
5,-4.696
6,-4.283
7,-4.861
8,-4.297
9,-4.863
10,-5.546